Here is crystalline CaInGe at its relaxed geometry from Alexandria. Energies are from GGA-PBE.

Structure (extended XYZ):
```
3
Lattice="-4.1113 -2.2776 -1.4281 -0.5715 -4.8030 0.8571 -3.2521 -1.5273 3.3498" Properties=species:S:1:pos:R:3 pbc="T T T"
Ge -1.9837 -2.1520 0.6947
Ca 0.0000 0.0000 0.0000
In -3.9675 -4.3040 1.3894
```

Results
Symmetry: F-43m
Formation enthalpy at 0 K, eV/atom: -0.30

Here is crystalline KRb3Br at its relaxed geometry from Alexandria. Energies are from GGA-PBE.

Structure (extended XYZ):
```
5
Lattice="-4.2115 5.3055 -1.8280 -2.5969 0.1834 6.5153 4.9745 4.5875 1.8536" Properties=species:S:1:pos:R:3 pbc="T T T"
Rb 2.4873 2.2937 0.9268
Rb -2.1058 2.6527 -0.9140
Rb -1.2984 0.0917 3.2576
Br 0.0000 0.0000 0.0000
K -0.9170 5.0381 3.2705
```

Results
Symmetry: Pm-3m
ΔE_f (raw), eV/atom: -0.6420

Here is crystalline Tl2AgPtPb at its relaxed geometry from Alexandria. Energies are from GGA-PBE.

Structure (extended XYZ):
```
5
Lattice="-1.5961 -0.0112 4.9801 -4.5044 -2.4440 -1.4492 2.2884 -4.6465 0.7230" Properties=species:S:1:pos:R:3 pbc="T T T"
Tl -0.7981 -0.0056 2.4901
Tl 1.1442 -2.3232 0.3615
Pb -1.9061 -3.5508 2.1270
Ag -2.2522 -1.2220 -0.7246
Pt 0.0000 0.0000 0.0000
```

Results
Symmetry: P4/mmm
Formation enthalpy at 0 K, eV/atom: 0.19

Here is crystalline InCu7Ge2Au2 at its relaxed geometry from Alexandria. Energies are from GGA-PBE.

Structure (extended XYZ):
```
12
Lattice="-0.2282 3.5423 -0.7082 -3.0919 -0.5561 -1.7978 -9.1570 3.5291 10.7931" Properties=species:S:1:pos:R:3 pbc="T T T"
Ge -6.4610 2.8156 6.3909
Au -8.7210 4.4662 6.1222
Au -3.7561 2.0490 2.1649
Cu -2.8389 3.5457 0.1409
Cu -1.6601 1.4931 -1.2530
Cu -7.3103 4.0679 3.9125
Cu -4.2728 1.4936 -0.4046
Ge -6.0161 3.6997 1.8962
Cu -5.1669 2.4474 4.3745
In 0.0000 0.0000 0.0000
Cu -8.2043 5.0217 8.6917
Cu -9.6383 2.9695 8.1461
```

Results
Symmetry: C2/m
Formation enthalpy at 0 K, eV/atom: 0.12

Here is crystalline Tb2TmCdO at its relaxed geometry from Alexandria. Energies are from GGA-PBE.

Structure (extended XYZ):
```
5
Lattice="4.7032 0.0000 0.0000 0.0000 4.8185 0.0000 0.0000 0.0000 4.8185" Properties=species:S:1:pos:R:3 pbc="T T T"
Tm 2.3516 0.0000 0.0000
Tb 0.0000 2.4093 0.0000
Cd 2.3516 2.4093 2.4093
O 0.0000 0.0000 0.0000
Tb 0.0000 0.0000 2.4093
```

Results
Symmetry: P4/mmm
ΔE_f (raw), eV/atom: -1.3208

Here is crystalline Ag2Hg2Pb at its relaxed geometry from Alexandria. Energies are from GGA-PBE.

Structure (extended XYZ):
```
10
Lattice="8.4759 0.0000 0.0000 0.0000 8.4759 0.0000 0.0000 0.0000 3.2057" Properties=species:S:1:pos:R:3 pbc="T T T"
Hg 5.3286 1.0907 0.0000
Ag 2.8020 1.4359 1.6028
Ag 7.0399 2.8020 1.6028
Pb 4.2379 4.2379 0.0000
Hg 7.3852 5.3286 0.0000
Hg 1.0907 3.1472 0.0000
Ag 1.4359 5.6739 1.6028
Hg 3.1472 7.3852 0.0000
Pb 0.0000 0.0000 0.0000
Ag 5.6739 7.0399 1.6028
```

Results
Symmetry: P4/mbm
Formation enthalpy at 0 K, eV/atom: 0.09

Here is crystalline ZrCl2O at its relaxed geometry from Alexandria. Energies are from GGA-PBE.

Structure (extended XYZ):
```
4
Lattice="-2.5151 -3.3595 1.3303 -3.7788 0.7834 2.1188 -3.8455 -0.7940 -1.9909" Properties=species:S:1:pos:R:3 pbc="T T T"
Zr -5.0697 -1.6850 0.7291
Cl -7.6045 -2.5276 1.0936
O 0.0000 0.0000 0.0000
Cl -2.5348 -0.8425 0.3645
```

Results
Symmetry: Fm-3m
ΔE_f (raw), eV/atom: -0.8374

Here is crystalline TaMnRh2C at its relaxed geometry from Alexandria. Energies are from GGA-PBE.

Structure (extended XYZ):
```
5
Lattice="-3.4647 1.7166 1.9222 -0.3028 -3.7131 2.7703 2.5617 1.9421 2.8830" Properties=species:S:1:pos:R:3 pbc="T T T"
Rh 1.2808 0.9711 1.4415
Mn 0.0000 0.0000 0.0000
Ta -0.1514 -1.8566 1.3851
Rh -1.7324 0.8583 0.9611
C -0.6029 -0.0272 3.7878
```

Results
Symmetry: P4/mmm
Formation enthalpy at 0 K, eV/atom: 2.06

Number 1: M_tot 0.00 μB per cell, ρ 4.51 g cm⁻³. Number 2: M_tot 0.00 μB per cell, ρ 1.80 g cm⁻³. Number 3: M_tot 0.00 μB per cell, ρ 10.48 g cm⁻³. Number 4: M_tot 0.00 μB per cell, ρ 9.72 g cm⁻³. Number 5: M_tot 0.00 μB per cell, ρ 9.35 g cm⁻³. Number 6: M_tot 0.00 μB per cell, ρ 11.88 g cm⁻³. Number 7: M_tot 0.00 μB per cell, ρ 4.90 g cm⁻³. Number 8: M_tot 0.00 μB per cell, ρ 8.70 g cm⁻³.